Ca2ZnBr after structural relaxation. Source: Alexandria, functional PBE-GGA.

Output
- M_tot: 0.001 μB/f.u.
- Space group: P2/m (10)
- Formation energy (no corrections): -0.77 eV per atom
- Calculated volume: 29.74 Å³/atom
- Offset from the most stable computed form: 0.0048 eV per atom

Cell: 3.8736 3.6727 8.3609 Å, 90.00 90.12 90.00°
Element x y z (fractional)
Ca1 0.0010 0.0000 0.2147
Ca2 0.9990 0.0000 0.7853
Zn1 0.5000 0.5000 0.0000
Br1 0.0000 0.5000 0.5000


Ca2ZrBr8 after structural relaxation. Source: Alexandria, functional PBE-GGA.

Output
- M_tot: 0.000 μB/f.u.
- Space group: C2/m (12)
- Formation energy (no corrections): -1.62 eV per atom
- Calculated volume: 35.04 Å³/atom

Cell: 8.2180 8.2180 7.4054 Å, 90.71 90.71 50.42°
Element x y z (fractional)
Ca1 0.1358 0.1358 0.0374
Ca2 0.8642 0.8642 0.9626
Zr1 0.0000 0.0000 0.5000
Br1 0.1734 0.1734 0.4231
Br2 0.2214 0.7203 0.2371
Br3 0.2797 0.7786 0.7629
Br4 0.3059 0.3059 0.9075
Br5 0.6941 0.6941 0.0925
Br6 0.7203 0.2214 0.2371
Br7 0.7786 0.2797 0.7629
Br8 0.8266 0.8266 0.5769


CaZrBr2 after structural relaxation. Source: Alexandria, functional PBE-GGA.

Output
- M_tot: 0.000 μB/f.u.
- Space group: Fm-3m (225)
- Formation energy (no corrections): -0.53 eV per atom
- Calculated volume: 22.19 Å³/atom
- Offset from the most stable computed form: 0.3712 eV per atom

Cell: 5.0073 5.0073 5.0073 Å, 60.00 60.00 60.00°
Element x y z (fractional)
Ca1 0.0000 0.0000 0.0000
Zr1 0.5000 0.5000 0.5000
Br1 0.2500 0.2500 0.2500
Br2 0.7500 0.7500 0.7500


CaZrBr2 after structural relaxation. Source: Alexandria, functional PBE-GGA.

Output
- M_tot: 0.101 μB/f.u.
- Space group: Cmmm (65)
- Formation energy (no corrections): -0.65 eV per atom
- Calculated volume: 27.25 Å³/atom
- Offset from the most stable computed form: 0.2538 eV per atom

Cell: 3.7502 3.7502 9.5392 Å, 90.00 90.00 125.65°
Element x y z (fractional)
Ca1 0.0000 0.0000 0.0000
Zr1 0.0000 0.0000 0.5000
Br1 0.5000 0.5000 0.2658
Br2 0.5000 0.5000 0.7342


CaZrBr2 after structural relaxation. Source: Alexandria, functional PBE-GGA.

Output
- M_tot: 0.619 μB/f.u.
- Space group: P4mm (99)
- Formation energy (no corrections): -0.90 eV per atom
- Calculated volume: 29.41 Å³/atom
- Offset from the most stable computed form: 0.0000 eV per atom

Cell: 3.5355 3.5355 9.4124 Å, 90.00 90.00 90.00°
Element x y z (fractional)
Ca1 0.0000 0.0000 0.0000
Zr1 0.5000 0.5000 0.2869
Br1 0.0000 0.0000 0.4378
Br2 0.5000 0.5000 0.8287


CaZrBr2 after structural relaxation. Source: Alexandria, functional PBE-GGA.

Output
- M_tot: 0.000 μB/f.u.
- Space group: P4/mmm (123)
- Formation energy (no corrections): -0.51 eV per atom
- Calculated volume: 22.40 Å³/atom
- Offset from the most stable computed form: 0.3917 eV per atom

Cell: 5.0611 5.0611 3.4981 Å, 90.00 90.00 90.00°
Element x y z (fractional)
Ca1 0.0000 0.0000 0.0000
Zr1 0.5000 0.5000 0.0000
Br1 0.0000 0.5000 0.5000
Br2 0.5000 0.0000 0.5000


CaZrBr2 after structural relaxation. Source: Alexandria, functional PBE-GGA.

Output
- M_tot: 0.231 μB/f.u.
- Space group: P4/mmm (123)
- Formation energy (no corrections): -0.56 eV per atom
- Calculated volume: 28.24 Å³/atom
- Offset from the most stable computed form: 0.3413 eV per atom

Cell: 3.4247 3.4247 9.6300 Å, 90.00 90.00 90.00°
Element x y z (fractional)
Ca1 0.0000 0.0000 0.0000
Zr1 0.0000 0.0000 0.5000
Br1 0.5000 0.5000 0.3291
Br2 0.5000 0.5000 0.6709


CaZrBr2 after structural relaxation. Source: Alexandria, functional PBE-GGA.

Output
- M_tot: 0.175 μB/f.u.
- Space group: R-3m (166)
- Formation energy (no corrections): -0.74 eV per atom
- Calculated volume: 28.14 Å³/atom
- Offset from the most stable computed form: 0.1628 eV per atom

Cell: 10.4287 10.4287 10.4287 Å, 19.69 19.69 19.69°
Element x y z (fractional)
Ca1 0.0000 0.0000 0.0000
Zr1 0.5000 0.5000 0.5000
Br1 0.2301 0.2301 0.2301
Br2 0.7699 0.7699 0.7699


CaZrBr3 after structural relaxation. Source: Alexandria, functional PBE-GGA.

Output
- M_tot: 2.988 μB/f.u.
- Space group: Pm-3m (221)
- Formation energy (no corrections): -0.57 eV per atom
- Calculated volume: 34.83 Å³/atom
- Offset from the most stable computed form: 0.1830 eV per atom

Cell: 5.5842 5.5842 5.5842 Å, 90.00 90.00 90.00°
Element x y z (fractional)
Ca1 0.0000 0.0000 0.0000
Zr1 0.5000 0.5000 0.5000
Br1 0.0000 0.0000 0.5000
Br2 0.0000 0.5000 0.0000
Br3 0.5000 0.0000 0.0000


CaZrBr3 after structural relaxation. Source: Alexandria, functional PBE-GGA.

Output
- M_tot: 0.624 μB/f.u.
- Space group: Pm-3m (221)
- Formation energy (no corrections): -0.75 eV per atom
- Calculated volume: 31.40 Å³/atom
- Offset from the most stable computed form: 0.0000 eV per atom

Cell: 5.3946 5.3946 5.3946 Å, 90.00 90.00 90.00°
Element x y z (fractional)
Ca1 0.0000 0.0000 0.0000
Zr1 0.5000 0.5000 0.5000
Br1 0.0000 0.5000 0.5000
Br2 0.5000 0.0000 0.5000
Br3 0.5000 0.5000 0.0000


CaZrBr2 after structural relaxation. Source: Alexandria, functional PBE-GGA.

Output
- M_tot: 1.014 μB/f.u.
- Space group: P2/m (10)
- Formation energy (no corrections): -0.66 eV per atom
- Calculated volume: 26.56 Å³/atom
- Offset from the most stable computed form: 0.2441 eV per atom

Cell: 3.5935 4.6631 6.3478 Å, 90.00 92.79 90.00°
Element x y z (fractional)
Ca1 0.0000 0.0000 0.0000
Zr1 0.5000 0.0000 0.5000
Br1 0.3498 0.5000 0.2557
Br2 0.6502 0.5000 0.7443


CaZrBr2 after structural relaxation. Source: Alexandria, functional PBE-GGA.

Output
- M_tot: 3.903 μB/f.u.
- Space group: F-43m (216)
- Formation energy (no corrections): 0.00 eV per atom
- Calculated volume: 28.80 Å³/atom
- Offset from the most stable computed form: 0.8994 eV per atom

Cell: 5.4617 5.4617 5.4617 Å, 60.00 60.00 60.00°
Element x y z (fractional)
Ca1 0.0000 0.0000 0.0000
Zr1 0.2500 0.2500 0.2500
Br1 0.5000 0.5000 0.5000
Br2 0.7500 0.7500 0.7500